Compound: Ba6P2AuBr3
Source: Alexandria via LeMat-Bulk
Functional: PBE
Structure: relaxed

abc: 8.1826 8.1826 8.4760
angles: 99.37 99.37 119.85
Last column: nearest neighbours and their distance in Å.
Positions (direct):
Ba 0.9276 0.5823 0.7831  2 P 3.19-3.20, 1 Au 3.32, 1 Br 3.44
Ba 0.7262 0.7262 0.2196  2 P 3.20, 1 Au 3.35, 1 Br 3.46
Ba 0.0724 0.4177 0.2169  2 P 3.19-3.20, 1 Au 3.32, 1 Br 3.44
Ba 0.5823 0.9276 0.7831  2 P 3.19-3.20, 1 Au 3.32, 1 Br 3.44
Ba 0.2738 0.2738 0.7804  2 P 3.20, 1 Au 3.35, 1 Br 3.46
Ba 0.4177 0.0724 0.2169  2 P 3.19-3.20, 1 Au 3.32, 1 Br 3.44
P 0.3334 0.6666 0.0000  6 Ba 3.19-3.20
P 0.6666 0.3334 0.0000  6 Ba 3.19-3.20
Au 0.0000 0.0000 0.0000  6 Ba 3.32-3.35
Br 0.1699 0.8301 0.5000  6 Ba 3.44-3.61
Br 0.8301 0.1699 0.5000  6 Ba 3.44-3.61
Br 0.5000 0.5000 0.5000  6 Ba 3.46-3.58

V (Å³/atom): 38.794
E_tot (eV per cell): -47.41
ΔE_f (raw) (eV/atom): -1.397
Magnetic moment (μB/cell): 2.00